Below is Rb3BaTc after structural relaxation, with properties calculated at the PBE level.

Results
crystal system: cubic
distance to the lowest polymorph of the same formula: 0.000 kcal/mol of atoms
SG: Pm-3m, No. 221
DOS at the Fermi energy: 7.1 states/eV per cell
ρ: 3.0 g cm⁻³
energy: -1.7152 eV/atom
E_form: 127.7 kJ/mol of atoms

Unit cell a=6.4595 b=6.4595 c=6.4595 alpha=90.00 beta=90.00 gamma=90.00
Closest atoms and distances in Å follow each position.
Atoms (fractional coordinates):
Ba 0.5000 0.5000 0.5000  12 Rb 4.57
Rb 0.0000 0.5000 0.0000  2 Tc 3.23
Rb 0.0000 0.0000 0.5000  2 Tc 3.23
Rb 0.5000 0.0000 0.0000  2 Tc 3.23
Tc 0.0000 0.0000 0.0000  6 Rb 3.23

=====

Below is RbBa2Tc after structural relaxation, with properties calculated at the PBE level.

Results
crystal system: tetragonal
distance to the lowest polymorph of the same formula: 0.000 kcal/mol of atoms
SG: I-42d, No. 122
DOS at the Fermi energy: 7.3 states/eV per cell
ρ: 3.1 g cm⁻³
energy: -3.0246 eV/atom
E_form: 74.3 kJ/mol of atoms

Unit cell a=8.8764 b=8.8764 c=8.8702 alpha=59.98 beta=59.98 gamma=90.00
Closest atoms and distances in Å follow each position.
Atoms (fractional coordinates):
Ba 0.8715 0.1250 0.2500  2 Tc 2.72
Ba 0.8785 0.6250 0.2500  2 Tc 2.72
Ba 0.3750 0.1285 0.7500  2 Tc 2.72
Ba 0.8750 0.1215 0.7500  2 Tc 2.72
Rb 0.5000 0.5000 0.0000  12 Ba 5.18-5.23, 4 Tc 5.43, 4 Rb 5.43
Rb 0.2500 0.7500 0.5000  12 Ba 5.18-5.23, 4 Rb 5.43, 4 Tc 5.43
Tc 0.0000 0.0000 0.0000  4 Ba 2.72
Tc 0.7500 0.2500 0.5000  4 Ba 2.72